1.
Computed, not measured: a relaxed CrGeSeBr2 crystal at the PBE level of DFT.

Properties
- Spin magnetization: 4.51 Bohr magnetons per cell
- D(E_F): 4.661 states/eV/f.u.
- Offset from the most stable computed form: 0.248 eV per atom
- Formation energy without anion corrections: 0.262 eV per atom

Unit cell a=5.2414 b=5.2414 c=5.1736 alpha=90.00 beta=90.00 gamma=90.00
With the nearest neighbours (Å) after each atom.
Fractional coordinates of all 5 atoms:
Ge1 0.0000 0.0000 0.0000  2 Se 2.59, 4 Br 2.62
Se1 0.0000 0.0000 0.5000  2 Ge 2.59
Cr1 0.5000 0.5000 0.5000  8 Br 3.68, 4 Se 3.71
Br1 0.5000 0.0000 0.0000  2 Ge 2.62
Br2 0.0000 0.5000 0.0000  2 Ge 2.62

=====

2.
Computed, not measured: a relaxed TmSn3 crystal at the PBE level of DFT.

Properties
- Spin magnetization: 0.00 Bohr magnetons per cell
- D(E_F): 1.404 states/eV/f.u.
- Formation enthalpy at 0 K: -1.3 eV/f.u.

Unit cell a=11.2871 b=11.2871 c=4.3878 alpha=90.00 beta=90.00 gamma=157.51
With the nearest neighbours (Å) after each atom.
Fractional coordinates of all 8 atoms:
Sn1 0.3597 0.6403 0.0000  6 Sn 3.11-3.39, 1 Tm 3.29
Tm1 0.2109 0.7891 0.0000  9 Sn 3.14-3.33
Sn2 0.7319 0.2681 0.5000  1 Sn 3.01, 4 Tm 3.14
Sn3 0.9761 0.0239 0.0000  4 Tm 3.11, 4 Sn 3.25-3.39
Sn4 0.0991 0.9009 0.5000  4 Sn 3.11, 4 Tm 3.31-3.40
Sn5 0.5982 0.4018 0.0000  4 Sn 3.11, 4 Tm 3.33-3.38
Tm2 0.4823 0.5177 0.5000  10 Sn 3.11-3.40
Sn6 0.8678 0.1322 0.5000  7 Sn 3.01-3.25, 2 Tm 3.36

=====

3.
Computed, not measured: a relaxed SiSeBr2F crystal at the PBE level of DFT.

Properties
- Spin magnetization: 1.64 Bohr magnetons per cell
- D(E_F): 5.244 states/eV/f.u.
- Offset from the most stable computed form: 0.000 eV per atom
- Formation energy without anion corrections: 0.056 eV per atom

Unit cell a=4.9375 b=4.9375 c=4.9763 alpha=90.00 beta=90.00 gamma=90.00
With the nearest neighbours (Å) after each atom.
Fractional coordinates of all 5 atoms:
Br1 0.5000 0.0000 0.0000  2 Si 2.47
F1 0.5000 0.5000 0.5000  4 Se 3.49, 8 Br 3.51
Br2 0.0000 0.5000 0.0000  2 Si 2.47
Si1 0.0000 0.0000 0.0000  4 Br 2.47, 2 Se 2.49
Se1 0.0000 0.0000 0.5000  2 Si 2.49